Density functional theory data (PBE-GGA) for crystalline Mn2SbAu at its relaxed geometry.

Output
Formation energy from raw total energies = 138.4 meV/atom
Density = 10195 kg/m3
Calculated volume = 69.8 Å³/f.u.

a b c (Å): 3.9566 3.9566 8.9189
angles (deg): 90.00 90.00 90.00
Last column: nearest neighbours and their distance in Å.
Space group I-4m2 (No. 119)
One atom of each set of equivalent atoms:
Mn (0.0000, 0.0000, 0.0000) (multiplicity 2)  4 Au 2.80, 4 Mn 2.98, 4 Sb 2.98
Mn (0.0000, 0.5000, 0.2500) (multiplicity 2)  4 Sb 2.80, 4 Mn 2.98, 4 Au 2.98
Sb (0.0000, 0.5000, 0.7500) (multiplicity 2)  8 Mn 2.80-2.98, 4 Au 2.98
Au (0.0000, 0.0000, 0.5000) (multiplicity 2)  8 Mn 2.80-2.98, 4 Sb 2.98